No. 1
Below is a relaxed Ta2PCl crystal, with properties calculated at the GGA-PBE level.

Output
As for the energy relative to the lowest polymorph listed for this composition: 700 meV/atom. Its space group is I-42d, No. 122.

a b c (Å): 6.8273 6.8273 5.7302
angles (deg): 53.44 53.44 90.00
With the nearest neighbours (Å) after each atom.
Fractional coordinates of all 8 atoms:
Ta1 0.3750 0.3964 0.7500  2 P 2.44, 2 Cl 2.63
Ta2 0.8750 0.8536 0.7500  2 P 2.44, 2 Cl 2.63
Ta3 0.6036 0.1250 0.2500  2 P 2.44, 2 Cl 2.63
Ta4 0.1464 0.6250 0.2500  2 P 2.44, 2 Cl 2.63
P1 0.5000 0.5000 0.0000  4 Ta 2.44
P2 0.2500 0.7500 0.5000  4 Ta 2.44
Cl1 0.7500 0.2500 0.5000  4 Ta 2.63
Cl2 0.0000 0.0000 0.0000  4 Ta 2.63

No. 2
Below is a relaxed MgNpZnPt crystal, with properties calculated at the GGA-PBE level.

Output
Its space group is F-43m, No. 216.

a b c (Å): 4.8070 4.8070 4.8070
angles (deg): 60.00 60.00 60.00
With the nearest neighbours (Å) after each atom.
Fractional coordinates of all 4 atoms:
Zn1 0.7500 0.7500 0.7500  4 Np 2.94, 4 Mg 2.94
Pt1 0.2500 0.2500 0.2500  4 Mg 2.94, 4 Np 2.94
Np1 0.0000 0.0000 0.0000  4 Zn 2.94, 4 Pt 2.94
Mg1 0.5000 0.5000 0.5000  4 Pt 2.94, 4 Zn 2.94

No. 3
Below is a relaxed AlV2B crystal, with properties calculated at the GGA-PBE level.

Output
As for the energy relative to the lowest polymorph listed for this composition: 772 meV/atom. Its space group is Fm-3m, No. 225.

a b c (Å): 4.0610 4.0610 4.0610
angles (deg): 60.00 60.00 60.00
With the nearest neighbours (Å) after each atom.
Fractional coordinates of all 4 atoms:
B1 0.0000 0.0000 0.0000  8 V 2.49
V1 0.7500 0.7500 0.7500  4 Al 2.49, 4 B 2.49
V2 0.2500 0.2500 0.2500  4 Al 2.49, 4 B 2.49
Al1 0.5000 0.5000 0.5000  8 V 2.49

No. 4
Below is a relaxed HoCu2Ni2Ge crystal, with properties calculated at the GGA-PBE level.

Output
Its space group is P4/mmm, No. 123.

a b c (Å): 4.3340 4.3340 5.4378
angles (deg): 90.00 90.00 90.00
With the nearest neighbours (Å) after each atom.
Fractional coordinates of all 6 atoms:
Ho1 0.0000 0.0000 0.5000  2 Ge 2.72
Ni1 0.0000 0.5000 0.0000  2 Ge 2.17
Ni2 0.5000 0.0000 0.0000  2 Ge 2.17
Cu1 0.5000 0.5000 0.2620  2 Cu 2.59-2.85, 4 Ni 2.59
Cu2 0.5000 0.5000 0.7380  2 Cu 2.59-2.85, 4 Ni 2.59
Ge1 0.0000 0.0000 0.0000  4 Ni 2.17

No. 5
Below is a relaxed YZrCo2 crystal, with properties calculated at the GGA-PBE level.

Output
Its space group is F-43m, No. 216.

a b c (Å): 4.5625 4.5625 4.5625
angles (deg): 60.00 60.00 60.00
With the nearest neighbours (Å) after each atom.
Fractional coordinates of all 4 atoms:
Co1 0.2500 0.2500 0.2500  4 Co 2.79, 4 Y 2.79
Co2 0.0000 0.0000 0.0000  4 Zr 2.79, 4 Co 2.79
Y1 0.5000 0.5000 0.5000  4 Zr 2.79, 4 Co 2.79
Zr1 0.7500 0.7500 0.7500  4 Y 2.79, 4 Co 2.79

No. 6
Below is a relaxed Ac8Er2Tm crystal, with properties calculated at the GGA-PBE level.

Output
Its space group is Immm, No. 71.

a b c (Å): 5.7859 9.6654 9.9672
angles (deg): 119.00 106.87 90.00
With the nearest neighbours (Å) after each atom.
Fractional coordinates of all 11 atoms:
Ac1 0.0000 0.3091 0.0000  7 Ac 3.69-3.89, 2 Er 3.82
Ac2 0.1459 0.1459 0.2917  2 Tm 3.76, 2 Er 3.81, 8 Ac 3.83-4.01
Ac3 0.3428 0.1300 0.6856  3 Er 3.60-3.63, 1 Tm 3.79, 5 Ac 3.84-4.01
Ac4 0.6572 0.8700 0.3144  3 Er 3.60-3.63, 1 Tm 3.79, 5 Ac 3.84-4.01
Ac5 0.0000 0.6909 0.0000  7 Ac 3.69-3.89, 2 Er 3.82
Ac6 0.3428 0.5556 0.6856  3 Er 3.60-3.63, 1 Tm 3.79, 5 Ac 3.84-4.01
Ac7 0.8541 0.8541 0.7083  2 Tm 3.76, 2 Er 3.81, 8 Ac 3.83-4.01
Ac8 0.6572 0.4444 0.3144  3 Er 3.60-3.63, 1 Tm 3.79, 5 Ac 3.84-4.01
Er1 0.7970 0.2969 0.5939  10 Ac 3.60-3.82
Er2 0.2030 0.7031 0.4061  10 Ac 3.60-3.82
Tm1 0.5000 0.0000 0.0000  12 Ac 3.76-4.16

Number 1: electronic total energy -0.2705 hartree per atom. Number 2: electronic total energy -0.2106 hartree per atom. Number 3: electronic total energy -0.2510 hartree per atom. Number 4: electronic total energy -0.1760 hartree per atom. Number 5: electronic total energy -0.2598 hartree per atom. Number 6: electronic total energy -0.1499 hartree per atom.